[1]
BHW2 | GGA-PBEsol | relaxed

Magnetization: 0.0 μB per cell
Uncorrected energy: -8.758 eV per atom

abc: 4.6149 4.6149 8.4952
angles: 90.00 90.00 90.00
With the nearest neighbours (Å) after each atom.
Space group I-42d (No. 122)
One atom of each set of equivalent atoms:
B 0.0000 0.0000 0.0000 (multiplicity 4)  4 W 2.08
H 0.0000 0.0000 0.5000 (multiplicity 4)  4 W 1.83
W 0.2042 0.2500 0.6250 (multiplicity 8)  2 H 1.83


[2]
Sc3Mn | GGA-PBEsol | relaxed

Magnetization: 0.7 μB per cell
Uncorrected energy: -6.750 eV per atom
Energy relative to the elements: 644 meV/atom

abc: 4.8268 4.8268 4.8268
angles: 90.00 90.00 90.00
With the nearest neighbours (Å) after each atom.
Space group Pm-3m (No. 221)
One atom of each set of equivalent atoms:
Sc 0.0000 0.0000 0.5000 (multiplicity 3)  2 Mn 2.41
Mn 0.0000 0.0000 0.0000 (multiplicity 1)  6 Sc 2.41


[3]
LiZn3 | GGA-PBEsol | relaxed

Magnetization: 0.0 μB per cell
Uncorrected energy: -1.841 eV per atom
Energy relative to the elements: -163 meV/atom

abc: 6.0000 6.0000 6.0000
angles: 90.00 90.00 90.00
With the nearest neighbours (Å) after each atom.
Space group Fm-3m (No. 225)
One atom of each set of equivalent atoms:
Li 0.0000 0.0000 0.0000 (multiplicity 4)  8 Zn 2.60
Zn 0.0000 0.0000 0.5000 (multiplicity 4)  8 Zn 2.60
Zn 0.2500 0.2500 0.2500 (multiplicity 8)  4 Li 2.60, 4 Zn 2.60


[4]
Ba2SrV2O8 | GGA-PBEsol | relaxed

Magnetization: 0.0 μB per cell
Uncorrected energy: -8.056 eV per atom
Raw formation energy: -2.87 eV per atom

abc: 5.6954 5.6954 20.8963
angles: 90.00 90.00 120.00
With the nearest neighbours (Å) after each atom.
Space group R3m (No. 160, hexagonal axes)
One atom of each set of equivalent atoms:
Ba 0.0000 0.0000 0.0000 (multiplicity 3)  4 O 2.58-2.70
Ba 0.0000 0.0000 0.2042 (multiplicity 3)  6 O 2.72-2.75
Sr 0.0000 0.0000 0.4098 (multiplicity 3)  4 O 2.52-2.71
V 0.0000 0.0000 0.6126 (multiplicity 3)  4 O 1.72
V 0.0000 0.0000 0.7955 (multiplicity 3)  4 O 1.70-1.71
O 0.0000 0.0000 0.5304 (multiplicity 3)  1 V 1.72
O 0.0000 0.0000 0.8767 (multiplicity 3)  1 V 1.70
O 0.0054 0.5027 0.4350 (multiplicity 9)  1 V 1.71
O 0.1703 0.3405 0.3082 (multiplicity 9)  1 V 1.72


[5]
SrRe2P | GGA-PBEsol | relaxed

Magnetization: 0.0 μB per cell
Uncorrected energy: -8.150 eV per atom
Energy relative to the elements: 424 meV/atom

abc: 10.4083 2.8829 5.2339
angles: 90.00 112.13 90.00
With the nearest neighbours (Å) after each atom.
Space group C2/m (No. 12)
One atom of each set of equivalent atoms:
Sr 0.0000 0.0000 0.0000 (multiplicity 2)  2 Sr 2.88, 4 P 2.99
Re 0.2018 0.0000 0.6526 (multiplicity 4)  2 P 2.42, 2 Re 2.62
P 0.0000 0.5000 0.5000 (multiplicity 2)  4 Re 2.42


[6]
PrAl8Cu4 | GGA-PBEsol | relaxed

Magnetization: 0.0 μB per cell
Uncorrected energy: -4.569 eV per atom
Energy relative to the elements: -319 meV/atom

abc: 8.7751 8.7751 5.1285
angles: 90.00 90.00 90.00
With the nearest neighbours (Å) after each atom.
Space group I4/mmm (No. 139)
One atom of each set of equivalent atoms:
Pr 0.0000 0.0000 0.0000 (multiplicity 2)  12 Al 3.06-3.21, 8 Cu 3.36
Al 0.0000 0.2210 0.5000 (multiplicity 8)  4 Cu 2.55, 6 Al 2.74-2.80
Al 0.0000 0.3483 0.0000 (multiplicity 8)  5 Al 2.66-2.80, 4 Cu 2.68
Cu 0.2500 0.2500 0.2500 (multiplicity 8)  8 Al 2.55-2.68, 2 Cu 2.56